First-principles (GGA-PBE) data for crystalline SrMn2Fe at its relaxed geometry, as listed in Alexandria via LeMat-Bulk.

```
data_SrMn2Fe
_chemical_formula_sum 'Sr4 Mn8 Fe4'
_symmetry_space_group_name_H-M 'I 41/a m d'
_symmetry_Int_Tables_number 141
_cell_length_a 4.9741
_cell_length_b 4.9741
_cell_length_c 15.2381
_cell_angle_alpha 90.00
_cell_angle_beta 90.00
_cell_angle_gamma 90.00
loop_
_symmetry_equiv_pos_as_xyz
'x,y,z'
'-x,-y,-z'
'-y+1/4,x+3/4,z+1/4'
'y+1/4,-x+3/4,-z+1/4'
'-x+1/2,-y,z+1/2'
'x+1/2,y,-z+1/2'
'y+1/4,-x+1/4,z+3/4'
'-y+1/4,x+1/4,-z+3/4'
'x,-y,-z'
'-x,y,z'
'-y+1/4,-x+1/4,-z+3/4'
'y+1/4,x+1/4,z+3/4'
'-x+1/2,y,-z+1/2'
'x+1/2,-y,z+1/2'
'y+1/4,x+3/4,-z+1/4'
'-y+1/4,-x+3/4,z+1/4'
'x+1/2,y+1/2,z+1/2'
'-x+1/2,-y+1/2,-z+1/2'
'-y+3/4,x+1/4,z+3/4'
'y+3/4,-x+1/4,-z+3/4'
'-x,-y+1/2,z'
'x,y+1/2,-z'
'y+3/4,-x+3/4,z+1/4'
'-y+3/4,x+3/4,-z+1/4'
'x+1/2,-y+1/2,-z+1/2'
'-x+1/2,y+1/2,z+1/2'
'-y+3/4,-x+3/4,-z+1/4'
'y+3/4,x+3/4,z+1/4'
'-x,y+1/2,-z'
'x,-y+1/2,z'
'y+3/4,x+1/4,-z+3/4'
'-y+3/4,-x+1/4,z+3/4'
loop_
_atom_site_label
_atom_site_type_symbol
_atom_site_fract_x
_atom_site_fract_y
_atom_site_fract_z
Sr1 Sr 0.0000 0.2500 0.3750
Mn1 Mn 0.0000 0.0000 0.0000
Fe1 Fe 0.0000 0.2500 0.8750
```

## Properties
ΔE_f (eV/atom): 0.849



First-principles (GGA-PBE) data for crystalline TaTi2RuO at its relaxed geometry, as listed in Alexandria via LeMat-Bulk.

```
data_TaTi2RuO
_chemical_formula_sum 'Ta1 Ti2 Ru1 O1'
_symmetry_space_group_name_H-M 'P 4/m m m'
_symmetry_Int_Tables_number 123
_symmetry_space_group_name_Hall '-P 4 2'
_cell_length_a 4.9153
_cell_length_b 4.9153
_cell_length_c 4.5414
_cell_angle_alpha 90.00
_cell_angle_beta 90.00
_cell_angle_gamma 90.00
loop_
_atom_site_label
_atom_site_type_symbol
_atom_site_fract_x
_atom_site_fract_y
_atom_site_fract_z
Ta1 Ta 0.0000 0.0000 0.0000
Ti1 Ti 0.0000 0.5000 0.0000
Ru1 Ru 0.0000 0.0000 0.5000
O1 O 0.5000 0.5000 0.5000
```

## Properties
Energy relative to the elements, uncorrected (meV per atom): 1584



First-principles (GGA-PBE) data for crystalline Tb8InBi2 at its relaxed geometry, as listed in Alexandria via LeMat-Bulk.

```
data_Tb8InBi2
_chemical_formula_sum 'Tb16 In2 Bi4'
_symmetry_space_group_name_H-M 'C 1 2/m 1'
_symmetry_Int_Tables_number 12
_symmetry_space_group_name_Hall '-C 2y'
_cell_length_a 8.5491
_cell_length_b 14.2541
_cell_length_c 6.0032
_cell_angle_alpha 90.00
_cell_angle_beta 107.45
_cell_angle_gamma 90.00
loop_
_atom_site_label
_atom_site_type_symbol
_atom_site_fract_x
_atom_site_fract_y
_atom_site_fract_z
Tb1 Tb 0.0000 0.2315 0.0000
Tb2 Tb 0.1057 0.5000 0.7943
Tb3 Tb 0.2029 0.1129 0.6530
In1 In 0.0000 0.0000 0.0000
Bi1 Bi 0.0000 0.3046 0.5000
```

## Properties
ΔE_f (eV/atom): -0.240



First-principles (GGA-PBE) data for crystalline Ti2CrH2 at its relaxed geometry, as listed in Alexandria via LeMat-Bulk.

```
data_Ti2CrH2
_chemical_formula_sum 'Ti4 Cr2 H4'
_symmetry_space_group_name_H-M 'P 4/m b m'
_symmetry_Int_Tables_number 127
_symmetry_space_group_name_Hall '-P 4 2ab'
_cell_length_a 6.3162
_cell_length_b 6.3162
_cell_length_c 2.5713
_cell_angle_alpha 90.00
_cell_angle_beta 90.00
_cell_angle_gamma 90.00
loop_
_atom_site_label
_atom_site_type_symbol
_atom_site_fract_x
_atom_site_fract_y
_atom_site_fract_z
Ti1 Ti 0.1555 0.3445 0.0000
Cr1 Cr 0.0000 0.0000 0.0000
H1 H 0.1217 0.6217 0.5000
```

## Properties
Polymorph energy (0 for the lowest one) (meV/atom): 648



First-principles (GGA-PBE) data for crystalline Tm3Zn2Co7 at its relaxed geometry, as listed in Alexandria via LeMat-Bulk.

```
data_Tm3Zn2Co7
_chemical_formula_sum 'Tm9 Zn6 Co21'
_symmetry_space_group_name_H-M 'R -3 m'
_symmetry_Int_Tables_number 166
_symmetry_space_group_name_Hall '-R 3 2"'
_cell_length_a 5.0213
_cell_length_b 5.0213
_cell_length_c 24.1739
_cell_angle_alpha 90.00
_cell_angle_beta 90.00
_cell_angle_gamma 120.00
loop_
_atom_site_label
_atom_site_type_symbol
_atom_site_fract_x
_atom_site_fract_y
_atom_site_fract_z
Tm1 Tm 0.0000 0.0000 0.0000
Tm2 Tm 0.0000 0.0000 0.1397
Zn1 Zn 0.0000 0.0000 0.3338
Co1 Co 0.0000 0.0000 0.5000
Co2 Co 0.0024 0.5012 0.9156
```

## Properties
ΔE_f (eV/atom): -0.249



First-principles (GGA-PBE) data for crystalline HgWSe2 at its relaxed geometry, as listed in Alexandria via LeMat-Bulk.

```
data_HgWSe2
_chemical_formula_sum 'Hg1 W1 Se2'
_symmetry_space_group_name_H-M 'P m m 2'
_symmetry_Int_Tables_number 25
_symmetry_space_group_name_Hall 'P 2 -2'
_cell_length_a 2.9870
_cell_length_b 3.9495
_cell_length_c 7.0948
_cell_angle_alpha 90.00
_cell_angle_beta 90.00
_cell_angle_gamma 90.00
loop_
_atom_site_label
_atom_site_type_symbol
_atom_site_fract_x
_atom_site_fract_y
_atom_site_fract_z
Hg1 Hg 0.0000 0.0000 0.0000
W1 W 0.5000 0.5000 0.7051
Se1 Se 0.0000 0.0000 0.5766
Se2 Se 0.5000 0.5000 0.3360
```

## Properties
Energy relative to the elements, uncorrected (meV per atom): 494



First-principles (GGA-PBE) data for crystalline CePmNp2As4 at its relaxed geometry, as listed in Alexandria via LeMat-Bulk.

```
data_CePmNp2As4
_chemical_formula_sum 'Ce1 Pm1 Np2 As4'
_symmetry_space_group_name_H-M 'P 1 2/m 1'
_symmetry_Int_Tables_number 10
_symmetry_space_group_name_Hall '-P 2y'
_cell_length_a 7.2203
_cell_length_b 4.1638
_cell_length_c 7.2273
_cell_angle_alpha 90.00
_cell_angle_beta 109.42
_cell_angle_gamma 90.00
loop_
_atom_site_label
_atom_site_type_symbol
_atom_site_fract_x
_atom_site_fract_y
_atom_site_fract_z
Ce1 Ce 0.0000 0.0000 0.0000
Pm1 Pm 0.5000 0.5000 0.0000
Np1 Np 0.0000 0.5000 0.5000
Np2 Np 0.5000 0.0000 0.5000
As1 As 0.2456 0.0000 0.7399
As2 As 0.2520 0.5000 0.2584
```

## Properties
ΔE_f (eV/atom): -1.074



First-principles (GGA-PBE) data for crystalline AcZn3Ge at its relaxed geometry, as listed in Alexandria via LeMat-Bulk.

```
data_AcZn3Ge
_chemical_formula_sum 'Ac4 Zn12 Ge4'
_symmetry_space_group_name_H-M 'C 1 2/m 1'
_symmetry_Int_Tables_number 12
_symmetry_space_group_name_Hall '-C 2y'
_cell_length_a 22.8295
_cell_length_b 4.3284
_cell_length_c 4.4026
_cell_angle_alpha 90.00
_cell_angle_beta 101.04
_cell_angle_gamma 90.00
loop_
_atom_site_label
_atom_site_type_symbol
_atom_site_fract_x
_atom_site_fract_y
_atom_site_fract_z
Ac1 Ac 0.0931 0.0000 0.3424
Zn1 Zn 0.0257 0.5000 0.7756
Zn2 Zn 0.2088 0.0000 0.9582
Zn3 Zn 0.2162 0.5000 0.4661
Ge1 Ge 0.1419 0.5000 0.8904
```

## Properties
ΔE_f (eV/atom): -0.315



no.,DOS at the Fermi energy (states/eV/cell),size of the total moment (μB per atom),total energy (eV/atom)
1,23.43,1.127,-6.272
2,9.68,0.000,-6.791
3,29.15,0.001,-4.562
4,13.40,0.000,-6.022
5,43.31,0.536,-5.725
6,2.53,0.000,-4.562
7,24.70,1.059,-7.969
8,10.05,0.000,-2.824